# 1
DFT (meta-GGA SCAN) results for La3Cl at its PBEsol-relaxed geometry.

**VASP energy**: -34.6190 eV per atom
**Raw formation energy**: -296 meV per atom
**Magnetization**: 0.000 μB per atom
**Polymorph energy (0 for the lowest one)**: 0.5728 eV per atom

Lattice parameters (Å, degrees): 4.7866 4.7866 4.7866 90.00 90.00 90.00
With the nearest neighbours (Å) after each atom.
Positions (direct):
Cl1 0.0000 0.0000 0.0000  12 La 3.38
La1 0.0000 0.5000 0.5000  8 La 3.38, 4 Cl 3.38
La2 0.5000 0.0000 0.5000  8 La 3.38, 4 Cl 3.38
La3 0.5000 0.5000 0.0000  8 La 3.38, 4 Cl 3.38

***

# 2
DFT (meta-GGA SCAN) results for LaCl3 at its PBEsol-relaxed geometry.

**VASP energy**: -19.4354 eV per atom
**Raw formation energy**: -2676 meV per atom
**Magnetization**: 0.000 μB per atom

Lattice parameters (Å, degrees): 5.9705 7.5549 8.7777 90.00 90.00 90.00
With the nearest neighbours (Å) after each atom.
Positions (direct):
Cl1 0.6447 0.1713 0.5612  3 La 2.85-2.99
Cl2 0.1198 0.0301 0.7500  2 La 2.79-2.82
Cl3 0.8553 0.6713 0.9388  3 La 2.85-2.99
Cl4 0.1447 0.3287 0.0612  3 La 2.85-2.99
Cl5 0.6447 0.1713 0.9388  3 La 2.85-2.99
Cl6 0.3802 0.5301 0.7500  2 La 2.79-2.82
Cl7 0.3553 0.8287 0.0612  3 La 2.85-2.99
Cl8 0.1447 0.3287 0.4388  3 La 2.85-2.99
Cl9 0.6198 0.4699 0.2500  2 La 2.79-2.82
Cl10 0.3553 0.8287 0.4388  3 La 2.85-2.99
Cl11 0.8802 0.9699 0.2500  2 La 2.79-2.82
Cl12 0.8553 0.6713 0.5612  3 La 2.85-2.99
La1 0.4506 0.1256 0.2500  8 Cl 2.79-2.99
La2 0.0494 0.6256 0.2500  8 Cl 2.79-2.99
La3 0.9506 0.3744 0.7500  8 Cl 2.79-2.99
La4 0.5494 0.8744 0.7500  8 Cl 2.79-2.99

***

# 3
DFT (meta-GGA SCAN) results for LaCl3 at its PBEsol-relaxed geometry.

**VASP energy**: -19.1172 eV per atom
**Raw formation energy**: -2358 meV per atom
**Magnetization**: 0.000 μB per atom

Lattice parameters (Å, degrees): 4.9420 4.9420 4.9445 60.01 60.01 60.01
With the nearest neighbours (Å) after each atom.
Positions (direct):
Cl1 0.2501 0.2501 0.2497  4 La 3.03, 4 Cl 3.03
Cl2 0.5000 0.5000 0.5000  8 Cl 3.03
Cl3 0.7499 0.7499 0.7503  4 La 3.03, 4 Cl 3.03
La1 0.0000 0.0000 0.0000  8 Cl 3.03